(1)
CeTh2Pd, optimized geometry, DFT PBE; polymorph energy (0 for the lowest one) = 15.6 kJ per mole of atoms; DOS at the Fermi energy = 7.3 states/eV/cell; energy relative to the elements = -0.170 eV per atom; uncorrected energy = -26.6 eV per formula unit
1.0
1.8237 1.0529 9.8533
-1.8237 1.0529 9.8533
0.0000 -2.1058 9.8533
Ce Th Pd
1 2 1
direct
0.0000 0.0000 0.0000
0.2375 0.2375 0.2375
0.4275 0.4275 0.4275
0.8303 0.8303 0.8303


(2)
HfZrSeI2, optimized geometry, DFT PBE; DOS at the Fermi energy = 6.8 states/eV/cell; formation energy (no corrections) = 982 meV/atom; uncorrected energy = -20.2 eV per formula unit
1.0
5.6476 0.0000 0.0000
0.0000 5.6476 0.0000
0.0000 0.0000 5.0670
Hf Zr Se I
1 1 1 2
direct
0.0000 0.0000 0.0000
0.5000 0.5000 0.0000
0.5000 0.5000 0.5000
0.0000 0.5000 0.5000
0.5000 0.0000 0.5000


(3)
Cd8In6Ga, optimized geometry, DFT PBE; DOS at the Fermi energy = 5.6 states/eV/cell; energy relative to the elements = 0.056 eV per atom; uncorrected energy = -25.9 eV per formula unit
1.0
4.3164 2.4921 5.8459
-4.3164 2.4921 5.8459
0.0000 -4.9842 5.8459
Cd In Ga
8 6 1
direct
0.0547 0.8747 0.3697
0.1253 0.6303 0.9453
0.2434 0.2434 0.2434
0.3697 0.0547 0.8747
0.6303 0.9453 0.1253
0.7566 0.7566 0.7566
0.8747 0.3697 0.0547
0.9453 0.1253 0.6303
0.1719 0.4368 0.6115
0.3885 0.8281 0.5632
0.4368 0.6115 0.1719
0.5632 0.3885 0.8281
0.6115 0.1719 0.4368
0.8281 0.5632 0.3885
0.0000 0.0000 0.0000


(4)
Ti5BeCo4, optimized geometry, DFT PBE; DOS at the Fermi energy = 9.3 states/eV/cell; energy relative to the elements = -0.338 eV per atom; uncorrected energy = -75.0 eV per formula unit
1.0
2.9967 0.0000 0.0000
0.0000 2.9967 0.0000
0.0000 0.0000 14.4729
Ti Be Co
5 1 4
direct
0.0000 0.0000 0.0000
0.0000 0.0000 0.2012
0.0000 0.0000 0.4018
0.0000 0.0000 0.5982
0.0000 0.0000 0.7988
0.5000 0.5000 0.5000
0.5000 0.5000 0.1007
0.5000 0.5000 0.3032
0.5000 0.5000 0.6968
0.5000 0.5000 0.8993


(5)
Ta6Mo5Au, optimized geometry, DFT PBE; DOS at the Fermi energy = 5.9 states/eV/cell; energy relative to the elements = -0.165 eV per atom; uncorrected energy = -130.5 eV per formula unit
1.0
-2.2897 3.2532 6.8601
2.2897 -3.2532 6.8601
2.2897 3.2532 -6.8601
Ta Mo Au
6 5 1
direct
0.0728 0.3294 0.7434
0.2348 0.0000 0.2348
0.4140 0.6706 0.7434
0.5860 0.3294 0.2566
0.7652 0.0000 0.7652
0.9272 0.6706 0.2566
0.0000 0.5000 0.5000
0.1678 0.1678 0.0000
0.3379 0.8379 0.5000
0.6621 0.1621 0.5000
0.8322 0.8322 0.0000
0.5000 0.5000 0.0000


(6)
ScCd2Hg, optimized geometry, DFT PBE; DOS at the Fermi energy = 2.5 states/eV/cell; energy relative to the elements = -0.134 eV per atom; uncorrected energy = -9.0 eV per formula unit
1.0
3.2996 0.0000 0.0000
0.0000 3.2996 0.0000
0.0000 0.0000 8.2134
Sc Cd Hg
1 2 1
direct
0.0000 0.0000 0.0000
0.5000 0.5000 0.2487
0.5000 0.5000 0.7513
0.0000 0.0000 0.5000


(7)
KPmIrO4, optimized geometry, DFT PBE; DOS at the Fermi energy = 6.7 states/eV/cell; formation energy (no corrections) = -1766 meV/atom; uncorrected energy = -46.9 eV per formula unit
1.0
-3.3155 3.6781 4.6195
3.3155 -3.6781 4.6195
3.3155 3.6781 -4.6195
K Pm Ir O
2 2 2 8
direct
0.3893 0.1393 0.2500
0.6107 0.8607 0.7500
0.0000 0.5000 0.5000
0.5000 0.5000 0.0000
0.0000 0.0000 0.5000
0.0000 0.5000 0.0000
0.1676 0.2480 0.9196
0.1716 0.7520 0.4196
0.2222 0.2554 0.5331
0.2222 0.6891 0.9669
0.7778 0.3109 0.0331
0.7778 0.7446 0.4669
0.8284 0.2480 0.5804
0.8324 0.7520 0.0804


(8)
Pu6Ga2Bi, optimized geometry, DFT PBE; DOS at the Fermi energy = 28.5 states/eV/cell; energy relative to the elements = -0.022 eV per atom; uncorrected energy = -96.1 eV per formula unit
1.0
8.8628 0.0000 0.0000
-4.4314 7.6754 0.0000
0.0000 0.0000 3.2705
Pu Ga Bi
6 2 1
direct
0.0000 0.3392 0.0000
0.0000 0.6608 0.0000
0.3392 0.0000 0.0000
0.3392 0.3392 0.0000
0.6608 0.0000 0.0000
0.6608 0.6608 0.0000
0.3333 0.6667 0.5000
0.6667 0.3333 0.5000
0.0000 0.0000 0.5000